1.
Entry from the Alexandria database: a relaxed structure of CSe (PBE-GGA).

Calculated values
The total DFT energy (no corrections) comes out at -21.1 eV/cell. As for the spin magnetization: 0.00 μB per formula unit. Its space-group type is P1 (1).

abc: 4.3603 4.5256 4.7445
angles: 91.11 97.80 90.60
Positions (direct):
C 0.4184 0.5006 0.6343
C 0.2214 0.5083 0.8292
Se 0.8296 0.3064 0.7476
Se 0.4843 0.4555 0.2327

2.
Entry from the Alexandria database: a relaxed structure of Si3CSe (PBE-GGA).

Calculated values
The total DFT energy (no corrections) comes out at -17.2 eV/cell. As for the spin magnetization: 0.00 μB per formula unit. Its space-group type is Pm-3m (221).

abc: 4.7833 4.7833 4.7833
angles: 90.00 90.00 90.00
Positions (direct):
Si 0.0000 0.5000 0.0000
Si 0.0000 0.0000 0.5000
Si 0.5000 0.0000 0.0000
C 0.5000 0.5000 0.5000
Se 0.0000 0.0000 0.0000

3.
Entry from the Alexandria database: a relaxed structure of SiCSe2 (PBE-GGA).

Calculated values
The total DFT energy (no corrections) comes out at -17.3 eV/cell. As for the spin magnetization: 0.00 μB per formula unit. Its space-group type is R-3m (166).

abc: 7.3921 7.3921 7.3921
angles: 29.63 29.63 29.63
Positions (direct):
Si 0.5000 0.5000 0.5000
C 0.0000 0.0000 0.0000
Se 0.9163 0.9163 0.9163
Se 0.0837 0.0837 0.0837